(1)
Material: GePdI2N
Method: DFT, PBE
State: relaxed

```
GePdI2N
1.0
5.758 0.000 0.000
0.000 5.758 0.000
0.000 0.000 3.771
I Ge Pd N
2 1 1 1
Direct
0.000 0.500 0.000
0.500 0.000 0.000
0.500 0.500 0.500
0.000 0.000 0.000
0.000 0.000 0.500
```

raw formation energy = 721 meV per atom

***

(2)
Material: GePdI2N
Method: DFT, PBE
State: relaxed

```
GePdI2N
1.0
-0.316 -2.053 -5.505
-0.358 -5.496 2.071
-3.434 0.261 0.100
I Ge Pd N
2 1 1 1
Direct
0.000 0.500 0.000
0.500 0.000 0.000
0.000 0.000 0.000
0.500 0.500 0.500
0.000 0.000 0.500
```

raw formation energy = 745 meV per atom

***

(3)
Material: PmGeIN2
Method: DFT, PBE
State: relaxed

```
PmGeIN2
1.0
-1.878 -1.218 -3.468
-2.590 -6.243 3.595
-4.509 6.125 0.290
Pm Ge I N
2 2 2 4
Direct
0.250 0.665 0.948
0.750 0.335 0.052
0.250 0.569 0.409
0.750 0.431 0.591
0.250 0.988 0.746
0.750 0.012 0.254
0.750 0.556 0.426
0.250 0.444 0.574
0.750 0.499 0.853
0.250 0.501 0.147
```

raw formation energy = -624 meV per atom

***

(4)
Material: PrGeIN2
Method: DFT, PBE
State: relaxed

```
PrGeIN2
1.0
-2.447 2.970 1.588
-6.035 -2.766 -4.125
0.975 -2.939 7.000
Pr Ge I N
2 2 2 4
Direct
0.250 0.669 0.952
0.750 0.331 0.048
0.250 0.567 0.410
0.750 0.433 0.590
0.250 0.983 0.741
0.750 0.017 0.259
0.750 0.554 0.427
0.250 0.446 0.573
0.750 0.499 0.852
0.250 0.501 0.148
```

raw formation energy = -595 meV per atom